Entry 1:
TaHgS2 | GGA-PBE | relaxed

Lattice parameters (Å, degrees): 7.0943 14.9650 6.1893 90.00 117.03 90.00
Space group C2/c (No. 15)
One atom of each set of equivalent atoms:
Ta1 0.0000 0.9996 0.2500 x4
Hg1 0.0000 0.3067 0.2500 x4
S1 0.1956 0.0845 0.1026 x8

Entry 2:
Ta3HgS | GGA-PBE | relaxed

Lattice parameters (Å, degrees): 4.5815 4.5815 4.5815 90.00 90.00 90.00
Space group Pm-3m (No. 221)
One atom of each set of equivalent atoms:
Ta1 0.0000 0.0000 0.5000 x3
Hg1 0.5000 0.5000 0.5000 x1
S1 0.0000 0.0000 0.0000 x1

Entry 3:
TaHgS2 | GGA-PBE | relaxed

Lattice parameters (Å, degrees): 6.9233 5.7970 12.1627 90.00 122.06 90.00
Space group P2_1/c (No. 14)
One atom of each set of equivalent atoms:
Ta1 0.0017 0.0119 0.2488 x4
Hg1 0.1304 0.2382 0.9870 x4
S1 0.2654 0.2317 0.7265 x4
S2 0.3131 0.7376 0.8922 x4

Entry 4:
TaHgS2 | GGA-PBE | relaxed

Lattice parameters (Å, degrees): 3.9720 3.9720 9.1730 90.00 90.00 120.00
Space group P3m1 (No. 156)
One atom of each set of equivalent atoms:
Ta1 0.0000 0.0000 0.0000 x1
Hg1 0.6667 0.3333 0.5579 x1
S1 0.0000 0.0000 0.2346 x1
S2 0.3333 0.6667 0.9224 x1

Entry 5:
TaHgS2 | GGA-PBE | relaxed

Lattice parameters (Å, degrees): 3.9162 3.9162 30.1281 90.00 90.00 120.00
Space group R3m (No. 160, hexagonal axes)
One atom of each set of equivalent atoms:
Ta1 0.0000 0.0000 0.0000 x3
Hg1 0.0000 0.0000 0.5050 x3
S1 0.0000 0.0000 0.0715 x3
S2 0.0000 0.0000 0.6395 x3

Entry 6:
Ta2HgS | GGA-PBE | relaxed

Lattice parameters (Å, degrees): 4.0937 4.0937 18.8634 90.00 90.00 90.00
Space group I-42d (No. 122)
One atom of each set of equivalent atoms:
Ta1 0.2421 0.2500 0.1250 x8
Hg1 0.0000 0.0000 0.5000 x4
S1 0.0000 0.0000 0.0000 x4

Entry 7:
TaHgS2 | GGA-PBE | relaxed

Lattice parameters (Å, degrees): 7.4455 7.4455 10.5229 90.00 90.00 90.00
Space group I-42d (No. 122)
One atom of each set of equivalent atoms:
Ta1 0.0000 0.0000 0.0000 x4
Hg1 0.0000 0.0000 0.5000 x4
S1 0.0292 0.2500 0.1250 x8

Entry 8:
Ta6HgS12 | GGA-PBE | relaxed

Lattice parameters (Å, degrees): 11.8144 11.8144 9.2787 90.00 90.00 120.00
Space group R-3m (No. 166, hexagonal axes)
One atom of each set of equivalent atoms:
Ta1 0.0733 0.5367 0.2885 x18
Hg1 0.0000 0.0000 0.0000 x3
S1 0.0000 0.3732 0.5000 x18
S2 0.0936 0.1872 0.3634 x18

Entry 9:
TaHgS2 | GGA-PBE | relaxed

Lattice parameters (Å, degrees): 3.3682 3.3682 9.7766 90.00 90.00 120.00
Space group P3m1 (No. 156)
One atom of each set of equivalent atoms:
Ta1 0.0000 0.0000 0.0000 x1
Hg1 0.3333 0.6667 0.4853 x1
S1 0.3333 0.6667 0.8423 x1
S2 0.6667 0.3333 0.1579 x1

Entry 10:
TaHgS2 | GGA-PBE | relaxed

Lattice parameters (Å, degrees): 5.2636 5.2636 12.1961 90.00 90.00 90.00
Space group I4_1/amd (No. 141, origin choice 2)
One atom of each set of equivalent atoms:
Ta1 0.0000 0.2500 0.3750 x4
Hg1 0.0000 0.2500 0.8750 x4
S1 0.0000 0.2500 0.1715 x8

Entry 11:
TaHgS2 | GGA-PBE | relaxed

Lattice parameters (Å, degrees): 10.7854 7.6847 6.1353 90.00 117.32 90.00
Space group C2/c (No. 15)
One atom of each set of equivalent atoms:
Ta1 0.0000 0.0455 0.2500 x4
Hg1 0.0000 0.4479 0.2500 x4
S1 0.1464 0.1340 0.6693 x8

Entry 12:
TaHgS2 | GGA-PBE | relaxed

Lattice parameters (Å, degrees): 3.4024 21.6058 4.7069 90.00 90.00 90.00
Space group Cmcm (No. 63)
One atom of each set of equivalent atoms:
Ta1 0.0000 0.0501 0.2500 x4
Hg1 0.0000 0.3126 0.2500 x4
S1 0.0000 0.0620 0.7500 x4
S2 0.0000 0.1648 0.2500 x4

| no. | formation energy (no corrections) (meV per atom) | raw total energy (eV per atom) |
| --- | --- | --- |
| 1 | -484.4 | -5.59 |
| 2 | 414.7 | -7.58 |
| 3 | -448.2 | -5.55 |
| 4 | -312.1 | -5.41 |
| 5 | -308.9 | -5.41 |
| 6 | 539.8 | -6.49 |
| 7 | -366.7 | -5.47 |
| 8 | -542.7 | -6.91 |
| 9 | -762.7 | -5.87 |
| 10 | -24.3 | -5.13 |
| 11 | -480.7 | -5.58 |
| 12 | -72.0 | -5.17 |